Entry from Alexandria: a geometry-optimized ZrMnZn2 structure (PBE).

Unit cell a=9.6662 b=3.0418 c=4.7879 alpha=90.00 beta=110.43 gamma=90.00
With the nearest neighbours (Å) after each atom.
Space group Cm (No. 8)
Symmetry-distinct sites (fractional):
Zr (0.0000, 0.0000, 0.0000) [2 per cell]  3 Mn 2.77-2.81, 6 Zn 2.82-2.98, 2 Zr 3.04
Mn (0.2444, 0.0000, 0.8116) [2 per cell]  6 Zn 2.68-2.86, 3 Zr 2.77-2.81
Zn (0.0128, 0.5000, 0.5056) [2 per cell]  3 Zn 2.65-2.90, 2 Mn 2.68, 4 Zr 2.82-2.85
Zn (0.2727, 0.5000, 0.3339) [2 per cell]  3 Zn 2.65-2.90, 4 Mn 2.84-2.86

The formation energy is 0.002 eV per atom. Its total DFT energy (no corrections) is -5.065 eV per atom. For the mass density, the calculation gives 6.973 g/cm3.